A relaxed structure of Ag2IBr. Source: OQMD via LeMat-Bulk, functional PBE.

Output
- DFT total energy (eV/atom) = -2.525

a = 4.5361 Å, b = 4.5361 Å, c = 6.4025 Å
α = 90.00°, β = 90.00°, γ = 90.00°
Closest atoms and distances in Å follow each position.
Positions (direct):
Ag 0.5000 0.0000 0.7385  2 Br 2.73, 2 I 2.82
Ag 0.0000 0.5000 0.2615  2 Br 2.73, 2 I 2.82
I 0.0000 0.0000 0.0000  4 Ag 2.82
Br 0.5000 0.5000 0.5000  4 Ag 2.73